Er2Mn12P7 | SCAN | PBEsol geometry

Values from the calculation:
calculated formation energy: -17.27 eV/f.u.
magnetic moment: 0.759 μB per atom

Unit cell a=9.0974 b=9.0974 c=3.5555 alpha=90.00 beta=90.00 gamma=120.00
Space group P-6 (No. 174)
Symmetry-distinct sites (fractional):
Er (0.0000, 0.0000, 0.0000) (multiplicity 1)
Er (0.3333, 0.6667, 0.5000) (multiplicity 1)
Mn (0.0441, 0.2852, 0.5000) (multiplicity 3)
Mn (0.1025, 0.7247, 0.0000) (multiplicity 3)
Mn (0.4451, 0.2128, 0.0000) (multiplicity 3)
Mn (0.5104, 0.4538, 0.5000) (multiplicity 3)
P (0.0752, 0.4597, 0.0000) (multiplicity 3)
P (0.2562, 0.2124, 0.5000) (multiplicity 3)
P (0.6667, 0.3333, 0.5000) (multiplicity 1)